CsPtRhBr6: relaxed, PBE.

Computed properties:
The size of the total moment is 2.01 μB per cell. Its calculated volume is 328.6 Å³/cell. The raw formation energy comes out at -0.54 eV/atom.

Cell and atoms, written as CIF:
```
data_CsPtRhBr6
_cell_length_a 6.8109
_cell_length_b 6.8109
_cell_length_c 8.1785
_cell_angle_alpha 90.00
_cell_angle_beta 90.00
_cell_angle_gamma 120.00
_symmetry_space_group_name_H-M 'P 3 1 2'
_symmetry_Int_Tables_number 149
loop_
_symmetry_equiv_pos_as_xyz
'x,y,z'
'-y,x-y,z'
'-x+y,-x,z'
'-y,-x,-z'
'-x+y,y,-z'
'x,x-y,-z'
loop_
_atom_site_label
_atom_site_fract_x
_atom_site_fract_y
_atom_site_fract_z
Cs1 0.0000 0.0000 0.0000
Pt1 0.3333 0.6667 0.5000
Rh1 0.6667 0.3333 0.5000
Br1 0.3738 0.0169 0.6738
```